The following is a PBE calculation of a relaxed Al2WCl crystal, from the Alexandria database.

Cell lengths 2.8217, 4.6836, 4.9832 Å; angles 90.00, 90.00, 90.00 degrees
Closest atoms and distances in Å follow each position.
Space group Pmmm (No. 47)
Symmetry-distinct sites (fractional):
Al 0.0000 0.0000 0.0000 (multiplicity 1)  6 Al 2.73-2.82, 4 Cl 2.86
Al 0.5000 0.5000 0.0000 (multiplicity 1)  6 Al 2.73-2.82, 4 W 2.86
W 0.0000 0.5000 0.5000 (multiplicity 1)  4 Cl 2.73, 2 W 2.82, 4 Al 2.86
Cl 0.5000 0.0000 0.5000 (multiplicity 1)  4 W 2.73, 2 Cl 2.82, 4 Al 2.86

Calculated values
The value obtained for the formation energy (no corrections) is 531 meV/atom. The crystal system is orthorhombic. The total energy comes out at -20.16 eV/cell. The offset from the most stable computed form is 662 meV/atom. The value obtained for the density of states at the Fermi level is 3.4 states/eV per cell.